1.
BaCaNi: optimized geometry, PBE.

E above lowest polymorph: 44.0 meV/atom
V: 412.8 Å³/cell
formation energy: -0.021 eV/atom

a = 7.618 Å, b = 4.124 Å, c = 14.608 Å
α = 90.00°, β = 115.90°, γ = 90.00°
Atoms (fractional coordinates):
Ba 0.251 0.000 0.774
Ba 0.749 0.000 0.226
Ba 0.251 0.500 0.274
Ba 0.749 0.500 0.726
Ni 0.950 0.000 0.911
Ni 0.950 0.500 0.411
Ni 0.050 0.500 0.589
Ni 0.050 0.000 0.089
Ca 0.765 0.500 0.991
Ca 0.235 0.000 0.509
Ca 0.765 0.000 0.491
Ca 0.235 0.500 0.009

2.
BaCaNi: optimized geometry, PBE.

E above lowest polymorph: 38.3 meV/atom
V: 207.6 Å³/cell
formation energy: -0.027 eV/atom

a = 4.176 Å, b = 4.149 Å, c = 11.984 Å
α = 90.19°, β = 90.00°, γ = 90.00°
Atoms (fractional coordinates):
Ba 0.250 0.503 0.344
Ba 0.750 0.497 0.656
Ni 0.750 0.500 0.950
Ni 0.250 0.500 0.050
Ca 0.250 0.999 0.884
Ca 0.750 0.001 0.116

3.
BaCaNi2: optimized geometry, PBE.

E above lowest polymorph: 169.4 meV/atom
V: 106.6 Å³/cell
formation energy: 0.150 eV/atom

a = 6.123 Å, b = 6.123 Å, c = 6.123 Å
α = 45.55°, β = 45.55°, γ = 45.55°
Atoms (fractional coordinates):
Ni 0.058 0.058 0.058
Ni 0.442 0.442 0.442
Ca 0.750 0.750 0.750
Ba 0.250 0.250 0.250

4.
BaCaNi: optimized geometry, PBE.

E above lowest polymorph: 123.4 meV/atom
V: 109.5 Å³/cell
formation energy: 0.058 eV/atom

a = 4.292 Å, b = 4.292 Å, c = 6.864 Å
α = 90.00°, β = 90.00°, γ = 120.00°
Atoms (fractional coordinates):
Ca 0.667 0.333 0.444
Ni 0.333 0.667 0.650
Ba 0.000 0.000 0.906